LiTaPt2: relaxed, PBE.

DOS at the Fermi energy = 2.4 states/eV/f.u.
total DFT energy (no corrections) = -7.074 eV per atom
total moment = 0.00 μB per formula unit

a b c (Å): 4.791 4.791 2.797
angles (deg): 90.00 90.00 105.47
Fractional coordinates of all 4 atoms:
Pt 0.500 0.500 0.000
Pt 0.000 0.000 0.000
Li 0.000 0.500 0.500
Ta 0.500 0.000 0.500



LiTaPt4: relaxed, PBE.

DOS at the Fermi energy = 4.0 states/eV/f.u.
total DFT energy (no corrections) = -6.863 eV per atom
energy above the lowest structure with this stoichiometry = 0.000 eV/atom
total moment = 0.00 μB per formula unit

a b c (Å): 2.789 4.920 7.392
angles (deg): 97.31 79.13 73.53
Fractional coordinates of all 6 atoms:
Ta 0.500 0.500 0.500
Pt 0.165 0.504 0.167
Pt 0.330 0.008 0.333
Pt 0.670 0.992 0.667
Pt 0.835 0.496 0.833
Li 0.000 0.000 0.000



LiTaPt2: relaxed, PBE.

DOS at the Fermi energy = 2.8 states/eV/f.u.
total DFT energy (no corrections) = -7.030 eV per atom
total moment = 0.00 μB per formula unit

a b c (Å): 4.944 4.944 4.944
angles (deg): 134.49 134.28 66.49
Fractional coordinates of all 4 atoms:
Pt 0.750 0.250 0.500
Pt 0.000 0.000 0.000
Li 0.250 0.750 0.500
Ta 0.500 0.500 0.000



LiTaPt2: relaxed, PBE.

DOS at the Fermi energy = 2.5 states/eV/f.u.
total DFT energy (no corrections) = -6.840 eV per atom
total moment = 0.00 μB per formula unit

a b c (Å): 3.461 3.461 5.325
angles (deg): 90.00 90.00 90.00
Fractional coordinates of all 4 atoms:
Pt 0.000 0.000 0.959
Pt 0.500 0.500 0.278
Ta 0.000 0.000 0.477
Li 0.500 0.500 0.786



LiTaPt2: relaxed, PBE.

DOS at the Fermi energy = 3.7 states/eV/f.u.
total DFT energy (no corrections) = -6.912 eV per atom
total moment = 0.00 μB per formula unit

a b c (Å): 3.766 4.027 4.027
angles (deg): 90.00 90.00 90.00
Fractional coordinates of all 4 atoms:
Pt 0.000 0.500 0.500
Pt 0.000 0.000 0.000
Li 0.500 0.000 0.500
Ta 0.500 0.500 0.000



Li4TaPt: relaxed, PBE.

DOS at the Fermi energy = 2.7 states/eV/f.u.
total DFT energy (no corrections) = -4.174 eV per atom
total moment = 0.00 μB per formula unit

a b c (Å): 4.825 4.825 4.825
angles (deg): 60.00 60.00 60.00
Fractional coordinates of all 6 atoms:
Li 0.377 0.377 0.869
Li 0.869 0.377 0.377
Li 0.377 0.377 0.377
Li 0.377 0.869 0.377
Ta 0.000 0.000 0.000
Pt 0.750 0.750 0.750



LiTaPt3: relaxed, PBE.

DOS at the Fermi energy = 11.5 states/eV/f.u.
total DFT energy (no corrections) = -6.163 eV per atom
energy above the lowest structure with this stoichiometry = 0.691 eV/atom
total moment = 0.07 μB per formula unit

a b c (Å): 4.237 4.237 4.237
angles (deg): 90.00 90.00 90.00
Fractional coordinates of all 5 atoms:
Ta 0.500 0.500 0.500
Li 0.000 0.000 0.000
Pt 0.000 0.000 0.500
Pt 0.500 0.000 0.000
Pt 0.000 0.500 0.000



LiTaPt2: relaxed, PBE.

DOS at the Fermi energy = 2.4 states/eV/f.u.
total DFT energy (no corrections) = -6.839 eV per atom
total moment = 0.00 μB per formula unit

a b c (Å): 4.036 4.036 6.070
angles (deg): 84.52 84.52 40.45
Fractional coordinates of all 4 atoms:
Pt 0.001 0.001 0.978
Pt 0.499 0.499 0.522
Ta 0.250 0.250 0.250
Li 0.750 0.750 0.750